VASP calculation (SCAN) on a crystal of CaReMo2 relaxed with PBEsol.

a b c (Å): 3.0850 4.7482 9.2317
angles (deg): 90.00 90.00 90.00
Space group Imm2 (No. 44)
Inequivalent atoms, fractional coordinates:
Ca (0.0000, 0.0000, 0.0000) [2 per cell]
Re (0.0000, 0.5000, 0.2304) [2 per cell]
Mo (0.0000, 0.0000, 0.5052) [2 per cell]
Mo (0.0000, 0.5000, 0.7693) [2 per cell]

**Magnetization**: 0.00 μB/cell
**Excess energy over the best structure of this formula in the dataset**: 102 meV/atom
**Density of states at the Fermi level**: 0.810 states/eV/atom
**Theoretical density**: 10.27 g cm⁻³
**Formation energy from the elements**: 0.65 eV/atom